No. 1
An optimized crystal structure of Th4OsPdS2, computed with PBE.

## Properties
- Formation energy from raw total energies: -1.119 eV/atom
- Theoretical density: 10.43 g/cm³

Lattice parameters (Å, degrees): 7.0568 4.0953 7.4784 90.00 108.25 90.00
Sites, in units of the cell vectors:
Th  0.2360  0.0000  0.2336
Th  0.2406  0.5000  0.7590
Th  0.7594  0.5000  0.2410
Th  0.7640  0.0000  0.7664
Os  0.0000  0.5000  0.0000
Pd  0.5000  0.0000  0.0000
S  0.0000  0.0000  0.5000
S  0.5000  0.5000  0.5000

=====

No. 2
An optimized crystal structure of Th6Os3PdS2, computed with PBE.

## Properties
- Formation energy from raw total energies: -0.879 eV/atom
- Theoretical density: 11.51 g/cm³

Lattice parameters (Å, degrees): 9.3941 9.3941 8.4223 103.95 103.95 25.31
Sites, in units of the cell vectors:
Th  0.0021  0.0021  0.2373
Th  0.3269  0.3269  0.4211
Th  0.3402  0.3402  0.8952
Th  0.6598  0.6598  0.1048
Th  0.6731  0.6731  0.5789
Th  0.9979  0.9979  0.7627
Os  0.1673  0.1673  0.3396
Os  0.5000  0.5000  0.0000
Os  0.8327  0.8327  0.6604
Pd  0.5000  0.5000  0.5000
S  0.1729  0.1729  0.8488
S  0.8271  0.8271  0.1512

=====

No. 3
An optimized crystal structure of YOsPd2S, computed with PBE.

## Properties
- Formation energy from raw total energies: 0.093 eV/atom
- Theoretical density: 8.06 g/cm³

Lattice parameters (Å, degrees): 5.0376 5.0376 4.2560 90.00 90.00 90.00
Sites, in units of the cell vectors:
Y  0.0000  0.0000  0.0000
Os  0.5000  0.5000  0.5000
Pd  0.0000  0.5000  0.5000
Pd  0.5000  0.0000  0.5000
S  0.5000  0.5000  0.0000

=====

No. 4
An optimized crystal structure of SbOs2Pd4, computed with PBE.

## Properties
- Formation energy from raw total energies: 1.139 eV/atom
- Theoretical density: 10.03 g/cm³

Lattice parameters (Å, degrees): 7.1265 7.1265 7.1265 139.10 139.10 59.22
Sites, in units of the cell vectors:
Sb  0.0000  0.0000  0.0000
Os  0.4078  0.4078  0.0000
Os  0.5922  0.5922  0.0000
Pd  0.0000  0.5000  0.5000
Pd  0.2096  0.2096  0.0000
Pd  0.5000  0.0000  0.5000
Pd  0.7904  0.7904  0.0000

=====

No. 5
An optimized crystal structure of SbOsPd3, computed with PBE.

## Properties
- Formation energy from raw total energies: 1.121 eV/atom
- Theoretical density: 9.31 g/cm³

Lattice parameters (Å, degrees): 4.8284 4.8284 4.8284 90.00 90.00 90.00
Sites, in units of the cell vectors:
Sb  0.0000  0.0000  0.0000
Os  0.5000  0.5000  0.5000
Pd  0.0000  0.5000  0.5000
Pd  0.5000  0.0000  0.5000
Pd  0.5000  0.5000  0.0000

=====

No. 6
An optimized crystal structure of Sb2OsPd2, computed with PBE.

## Properties
- Formation energy from raw total energies: 0.886 eV/atom
- Theoretical density: 10.18 g/cm³

Lattice parameters (Å, degrees): 6.4859 6.4859 6.4859 141.39 141.39 55.75
Sites, in units of the cell vectors:
Sb  0.2500  0.7500  0.5000
Sb  0.7500  0.2500  0.5000
Os  0.0000  0.0000  0.0000
Pd  0.3889  0.3889  0.0000
Pd  0.6111  0.6111  0.0000